# 1
Below is a PBEsol-optimized structure of Mg3MoN4, with properties calculated at the meta-GGA SCAN level.

```
Mg3MoN4
1.0
-4.8717 0.0192 3.0254
-1.3724 -5.5605 0.2903
3.1506 -0.5359 5.1242
Mg N Mo
6 8 2
Cartesian
-2.5211 -4.8213 2.2751 Mg
1.0592 -3.8574 4.8895 Mg
-4.5098 -5.0810 4.5957 Mg
-0.5723 -1.2559 6.1647 Mg
1.4163 -0.9961 3.8442 Mg
-4.1526 -2.2197 3.5503 Mg
-2.1016 -2.6403 6.8847 N
-2.8400 -3.7399 3.9961 N
-0.5257 -5.1531 5.6529 N
-0.2534 -2.3372 4.4438 N
-0.9919 -3.4368 1.5552 N
-2.5678 -0.9240 2.7869 N
-3.3143 -5.2082 6.3846 N
0.2208 -0.8690 2.0552 N
-1.0458 -2.0312 2.8057 Mo
-2.0477 -4.0460 5.6342 Mo
```

Calculated values
- distance to the lowest polymorph of the same formula (meV/atom) = 31.7
- formation energy from raw total energies (eV/f.u.) = -8.05
- electronic total energy (eV for the cell shown) = -190.03

=====

# 2
Below is a PBEsol-optimized structure of MgMoNO2, with properties calculated at the meta-GGA SCAN level.

```
MgMoNO2
1.0
3.8200 0.0000 0.0000
0.0000 3.8200 0.0000
0.0000 0.0000 3.9711
O Mg N Mo
2 1 1 1
Cartesian
1.9100 0.0000 0.0000 O
0.0000 1.9100 0.0000 O
1.9100 1.9100 1.9855 Mg
0.0000 0.0000 1.9855 N
0.0000 0.0000 0.0000 Mo
```

Calculated values
- formation energy from raw total energies (eV/f.u.) = -6.72
- electronic total energy (eV for the cell shown) = -68.33